A geometry-optimized RbBaUF6 structure. Source: Alexandria, functional PBE.

Formation energy (no corrections)   -3.332 eV per atom
V   405 Å³ per cell
DOS(E_F)   7.3 states/eV/f.u.
Symmetry   P-31c
Mass density   4.72 g cm⁻³

abc: 6.9460 6.9460 9.6810
angles: 90.00 90.00 120.00
Sites, in units of the cell vectors:
1 Rb 0.0000 0.0000 0.0000
2 Rb 0.0000 0.0000 0.5000
3 Ba 0.3333 0.6667 0.2500
4 Ba 0.6667 0.3333 0.7500
5 U 0.3333 0.6667 0.7500
6 U 0.6667 0.3333 0.2500
7 F 0.0350 0.3844 0.6336
8 F 0.0350 0.6506 0.8664
9 F 0.3494 0.3844 0.8664
10 F 0.3494 0.9650 0.6336
11 F 0.3844 0.0350 0.1336
12 F 0.3844 0.3494 0.3664
13 F 0.6156 0.6506 0.6336
14 F 0.6156 0.9650 0.8664
15 F 0.6506 0.0350 0.3664
16 F 0.6506 0.6156 0.1336
17 F 0.9650 0.3494 0.1336
18 F 0.9650 0.6156 0.3664